(1)
Computed, not measured: a geometry-optimized KNdSnO3 structure at the PBE level of DFT.

Cell: 3.566 10.217 7.201 Å, 88.54 90.00 90.00°
Positions (direct):
1 O 0.750 0.205 0.635
2 O 0.750 0.763 0.041
3 O 0.750 0.468 0.172
4 O 0.250 0.795 0.365
5 O 0.250 0.237 0.959
6 O 0.250 0.532 0.828
7 Nd 0.750 0.382 0.870
8 Nd 0.250 0.618 0.130
9 Sn 0.250 0.100 0.755
10 Sn 0.750 0.900 0.245
11 K 0.750 0.732 0.679
12 K 0.250 0.268 0.321

Results
space group	P2_1/m, No. 11
Fermi-level density of states	0.0	states/eV/f.u.

(2)
Computed, not measured: a geometry-optimized K4Nd3SnO8 structure at the PBE level of DFT.

Cell: 7.209 7.560 7.209 Å, 118.47 120.00 90.00°
Positions (direct):
1 O 0.773 0.309 0.036
2 O 0.773 0.309 0.546
3 O 0.730 0.691 0.461
4 O 0.270 0.309 0.539
5 O 0.737 0.691 0.964
6 O 0.227 0.691 0.454
7 O 0.227 0.691 0.964
8 O 0.263 0.309 0.036
9 K 0.500 0.000 0.000
10 K 0.000 0.000 0.500
11 K 0.000 0.000 0.000
12 K 0.500 0.000 0.500
13 Nd 0.500 0.500 0.000
14 Nd 0.000 0.500 0.500
15 Nd 0.500 0.500 0.500
16 Sn 0.000 0.500 0.000

Results
space group	R-3m, No. 166
Fermi-level density of states	1.6	states/eV/f.u.

Calculated E_tot (eV/atom), listed in the same order as above: -6.2751; -6.1720
Calculated raw formation energy (eV per atom), listed in the same order as above: -2.15; -2.27